#A
# CoAgI2O

A geometry-optimized CoAgI2O structure (PBE with a Hubbard U, Alexandria).

Lattice parameters (Å, degrees): 5.703 5.703 4.010 90.00 90.00 90.00
Site moments in Bohr magnetons follow the coordinates.
Sites, in units of the cell vectors:
I  0.000  0.500  0.000  0.04
Ag  0.000  0.000  0.000  0.00
O  0.000  0.000  0.500  0.00
Co  0.500  0.500  0.500  2.52
I  0.500  0.000  0.000  0.04

* crystal system: tetragonal
* N(E_F): 1.859 states/eV per atom
* V: 130 Å³/f.u.

#B
# CoAgI2O

A geometry-optimized CoAgI2O structure (PBE with a Hubbard U, Alexandria).

Lattice parameters (Å, degrees): 5.769 5.769 3.582 90.00 90.00 90.00
Site moments in Bohr magnetons follow the coordinates.
Sites, in units of the cell vectors:
I  0.500  0.000  0.000  0.11
Ag  0.500  0.500  0.500  0.00
Co  0.000  0.000  0.000  2.58
I  0.000  0.500  0.000  0.11
O  0.000  0.000  0.500  0.46

* crystal system: tetragonal
* N(E_F): 0.536 states/eV per atom
* V: 119 Å³/f.u.

The calculated energies rank the structures as follows, beginning with the most stable: #B, #A.

#A
# CoAgIO2

A geometry-optimized CoAgIO2 structure (PBE with a Hubbard U, Alexandria).

Lattice parameters (Å, degrees): 3.862 3.862 6.261 90.00 90.00 90.00
Site moments in Bohr magnetons follow the coordinates.
Sites, in units of the cell vectors:
Ag  0.500  0.500  0.500  0.00
O  0.000  0.500  0.000  0.58
Co  0.000  0.000  0.000  2.69
O  0.500  0.000  0.000  0.58
I  0.000  0.000  0.500  0.05

* crystal system: tetragonal
* N(E_F): 0.380 states/eV per atom
* V: 93 Å³/f.u.

#B
# CoAgIO2

A geometry-optimized CoAgIO2 structure (PBE with a Hubbard U, Alexandria).

Lattice parameters (Å, degrees): 3.970 3.970 6.981 90.00 90.00 90.00
Site moments in Bohr magnetons follow the coordinates.
Sites, in units of the cell vectors:
Ag  0.000  0.000  0.000  0.19
O  0.000  0.500  0.000  0.50
I  0.000  0.000  0.500  0.01
Co  0.500  0.500  0.500  2.00
O  0.500  0.000  0.000  0.50

* crystal system: tetragonal
* N(E_F): 1.015 states/eV per atom
* V: 110 Å³/f.u.

The calculated energies rank the structures as follows, beginning with the most stable: #A, #B.